Here is a relaxed structure of SrPtNF2 from Alexandria via LeMat-Bulk. Energies are from PBE.

```
data_SrPtNF2
_symmetry_space_group_name_H-M 'P 4/m m m'
_symmetry_Int_Tables_number 123
_symmetry_space_group_name_Hall '-P 4 2'
_cell_length_a 4.764
_cell_length_b 4.764
_cell_length_c 3.729
_cell_angle_alpha 90.00
_cell_angle_beta 90.00
_cell_angle_gamma 90.00
loop_
_atom_site_label
_atom_site_type_symbol
_atom_site_fract_x
_atom_site_fract_y
_atom_site_fract_z
_atom_site_occupancy
Sr1 Sr 0.000 0.000 0.000 1
Pt1 Pt 0.500 0.500 0.500 1
N1 N 0.500 0.500 0.000 1
F1 F 0.000 0.500 0.500 1
```

- total magnetization (μB per cell) = 0.00
- D(E_F) (states/eV/cell) = 1.7
- calculated volume (Å³ per cell) = 84.6
- energy above the lowest structure with this stoichiometry (kcal/mol of atoms) = 0.000